No. 1
! NdAg4 | the Alexandria database | PBE-GGA | relaxed; values from VASP
! Magnetic moment   0.000 μB/atom
! Energy of formation from the pure elements   1.05 eV per atom
! Space group   Pm-3m (221)
&SYSTEM
  ibrav = 0, nat = 5, ntyp = 2
/
ATOMIC_SPECIES
Ag 107.87 Ag.upf
Nd 144.24 Nd.upf
CELL_PARAMETERS angstrom
-0.7490 5.1016 -2.2110
-5.5111 -0.3857 0.9770
0.7364 2.3023 5.0629
ATOMIC_POSITIONS crystal
Ag 0.5000 0.5000 0.0000
Ag 0.5000 0.0000 0.5000
Ag 0.0000 0.0000 0.0000
Nd 0.5000 0.5000 0.5000
Ag 0.0000 0.5000 0.5000

No. 2
! Y6Tm2S3 | the Alexandria database | PBE-GGA | relaxed; values from VASP
! Magnetic moment   0.000 μB/atom
! Energy relative to the elements, uncorrected   -1040 meV/atom
! Space group   R-3m (166)
&SYSTEM
  ibrav = 0, nat = 11, ntyp = 3
/
ATOMIC_SPECIES
Y 88.91 Y.upf
Tm 168.93 Tm.upf
S 32.06 S.upf
CELL_PARAMETERS angstrom
3.7318 0.0000 0.3700
1.8476 3.2424 0.3700
-0.5377 -0.3124 24.4296
ATOMIC_POSITIONS crystal
Y 0.3571 0.3571 0.9288
Tm 0.4418 0.4418 0.6745
Y 0.0692 0.0692 0.7924
Tm 0.5582 0.5582 0.3255
S 0.7128 0.7128 0.8617
Y 0.8140 0.8140 0.5579
Y 0.6429 0.6429 0.0712
Y 0.9308 0.9308 0.2076
S 0.0000 0.0000 0.0000
S 0.2872 0.2872 0.1383
Y 0.1860 0.1860 0.4421

No. 3
! Cs2Hg3I8 | the Alexandria database | PBE-GGA | relaxed; values from VASP
! Polymorph energy (0 for the lowest one)   0 meV/atom
! Magnetic moment   0.000 μB/atom
! Energy relative to the elements, uncorrected   -709 meV/atom
! Space group   Cm (8)
&SYSTEM
  ibrav = 0, nat = 13, ntyp = 3
/
ATOMIC_SPECIES
Hg 200.59 Hg.upf
I 126.90 I.upf
Cs 132.91 Cs.upf
CELL_PARAMETERS angstrom
11.9819 0.0216 0.0378
-9.5848 7.1900 0.0378
0.8333 2.5071 7.7276
ATOMIC_POSITIONS crystal
Hg 0.9700 0.9700 0.0210
I 0.5260 0.9173 0.0404
Cs 0.6479 0.9185 0.5382
I 0.0391 0.0391 0.6690
Cs 0.9185 0.6479 0.5382
Hg 0.9383 0.3217 0.9111
I 0.6445 0.6445 0.3007
I 0.1180 0.3099 0.0955
I 0.0917 0.4714 0.5517
I 0.9173 0.5260 0.0404
Hg 0.3217 0.9383 0.9111
I 0.3099 0.1180 0.0955
I 0.4714 0.0917 0.5517